Na3Pu2FeS6 | GGA-PBE | optimized geometry

The formation energy without anion corrections comes out at -1.169 eV per atom. The volume is 250 Å³ per cell. For the electronic total energy, the calculation gives -0.4892 Ry per atom. The value obtained for the magnetic moment is 9.0 μB/f.u. Its density of states at the Fermi level is 17.69 states/eV per cell.

abc: 6.565 6.565 7.063
angles: 99.00 99.00 120.06
Site moments in Bohr magnetons follow the coordinates.
Positions (direct):
Na 0.169 0.831 0.500  0.00
Na 0.831 0.169 0.500  0.00
Na 0.500 0.500 0.500  0.00
Pu 0.333 0.667 0.000  -4.90
Pu 0.667 0.333 0.000  -4.90
Fe 0.000 0.000 0.000  0.50
S 0.928 0.628 0.784  0.09
S 0.773 0.773 0.213  0.09
S 0.072 0.372 0.216  0.09
S 0.628 0.928 0.784  0.09
S 0.227 0.227 0.787  0.09
S 0.372 0.072 0.216  0.09

Na3Pu3FeS8 | GGA-PBE | optimized geometry

The formation energy without anion corrections comes out at -1.253 eV per atom. The volume is 355 Å³ per cell. For the electronic total energy, the calculation gives -0.5254 Ry per atom. The value obtained for the magnetic moment is 17.5 μB/f.u. Its density of states at the Fermi level is 25.47 states/eV per cell.

abc: 7.833 7.838 8.062
angles: 119.14 89.98 119.99
Site moments in Bohr magnetons follow the coordinates.
Positions (direct):
Na 0.000 0.000 0.000  0.00
Na 0.000 0.500 0.000  0.00
Na 0.500 0.500 0.000  0.00
Pu 0.500 0.000 0.500  4.85
Pu 0.500 0.500 0.500  4.85
Pu 0.000 0.500 0.500  4.85
Fe 0.000 0.000 0.500  3.23
S 0.257 0.515 0.272  -0.11
S 0.743 0.485 0.728  -0.11
S 0.775 0.551 0.293  -0.07
S 0.225 0.449 0.707  -0.07
S 0.775 0.017 0.292  -0.07
S 0.225 0.983 0.708  -0.07
S 0.243 0.017 0.292  -0.07
S 0.757 0.983 0.708  -0.07

Na3Pu3FeSe8 | GGA-PBE | optimized geometry

The formation energy without anion corrections comes out at -1.114 eV per atom. The volume is 406 Å³ per cell. For the electronic total energy, the calculation gives -0.4900 Ry per atom. The value obtained for the magnetic moment is 17.7 μB/f.u. Its density of states at the Fermi level is 30.44 states/eV per cell.

abc: 8.173 8.173 8.453
angles: 118.95 90.00 120.00
Site moments in Bohr magnetons follow the coordinates.
Positions (direct):
Na 0.000 0.000 0.000  0.00
Na 0.000 0.500 0.000  0.00
Na 0.500 0.500 0.000  0.00
Pu 0.500 0.000 0.500  4.97
Pu 0.500 0.500 0.500  4.97
Pu 0.000 0.500 0.500  4.97
Fe 0.000 0.000 0.500  3.22
Se 0.256 0.511 0.267  -0.12
Se 0.744 0.489 0.733  -0.12
Se 0.774 0.548 0.288  -0.09
Se 0.226 0.452 0.712  -0.09
Se 0.774 0.014 0.288  -0.09
Se 0.226 0.986 0.712  -0.09
Se 0.240 0.014 0.288  -0.09
Se 0.760 0.986 0.712  -0.09

Na3Pu2FeSe6 | GGA-PBE | optimized geometry

The formation energy without anion corrections comes out at -1.071 eV per atom. The volume is 298 Å³ per cell. For the electronic total energy, the calculation gives -0.4584 Ry per atom. The value obtained for the magnetic moment is 13.3 μB/f.u. Its density of states at the Fermi level is 22.77 states/eV per cell.

abc: 7.037 7.037 7.341
angles: 99.17 99.17 120.01
Site moments in Bohr magnetons follow the coordinates.
Positions (direct):
Na 0.169 0.831 0.500  0.00
Na 0.831 0.169 0.500  0.00
Na 0.500 0.500 0.500  0.00
Pu 0.333 0.667 0.000  4.99
Pu 0.667 0.333 0.000  4.99
Fe 0.000 0.000 0.000  3.30
Se 0.925 0.609 0.777  -0.06
Se 0.761 0.761 0.219  -0.06
Se 0.075 0.391 0.223  -0.06
Se 0.609 0.925 0.777  -0.06
Se 0.239 0.239 0.781  -0.06
Se 0.391 0.075 0.223  -0.06

RbNaFe2 | GGA-PBE | optimized geometry

For the formation energy, the calculation gives 1.19 eV/atom. The volume is 246 Å³ per cell. For the electronic total energy, the calculation gives -0.2656 Ry per atom. The value obtained for the magnetic moment is 5.9 μB/f.u. For the energy above the most stable polymorph in this dataset, the calculation gives 0 meV/atom. Its density of states at the Fermi level is 8.45 states/eV per cell.

abc: 4.748 4.748 11.410
angles: 77.99 77.99 90.00
Site moments in Bohr magnetons follow the coordinates.
Positions (direct):
Na 0.500 0.500 0.000  -0.02
Na 0.250 0.750 0.500  -0.02
Fe 0.375 0.125 0.250  2.96
Fe 0.375 0.625 0.250  2.96
Fe 0.375 0.625 0.750  2.93
Fe 0.875 0.625 0.750  2.94
Rb 0.000 0.000 0.000  -0.02
Rb 0.750 0.250 0.500  -0.02

Rb4NaFe2 | GGA-PBE | optimized geometry

For the formation energy, the calculation gives 0.79 eV/atom. The volume is 418 Å³ per cell. For the electronic total energy, the calculation gives -0.1740 Ry per atom. The value obtained for the magnetic moment is 5.6 μB/f.u. Its density of states at the Fermi level is 4.69 states/eV per cell.

abc: 7.022 7.022 9.833
angles: 69.08 69.08 90.00
Site moments in Bohr magnetons follow the coordinates.
Positions (direct):
Na 0.000 0.000 0.000  -0.01
Fe 0.561 0.561 0.877  2.86
Fe 0.439 0.439 0.123  2.86
Rb 0.769 0.769 0.462  0.00
Rb 0.231 0.231 0.538  0.00
Rb 0.000 0.500 0.000  -0.01
Rb 0.500 0.000 0.000  -0.01

RbNa3Fe | GGA-PBE | optimized geometry

For the formation energy, the calculation gives 1.24 eV/atom. The volume is 267 Å³ per cell. For the electronic total energy, the calculation gives -0.1057 Ry per atom. The value obtained for the magnetic moment is 3.2 μB/f.u. Its density of states at the Fermi level is 6.74 states/eV per cell.

abc: 6.439 6.439 6.439
angles: 90.00 90.00 90.00
Site moments in Bohr magnetons follow the coordinates.
Positions (direct):
Na 0.000 0.500 0.000  -0.01
Na 0.000 0.000 0.500  -0.01
Na 0.500 0.000 0.000  -0.01
Fe 0.500 0.500 0.500  3.27
Rb 0.000 0.000 0.000  -0.01

RbNaFe2 | GGA-PBE | optimized geometry

For the formation energy, the calculation gives 1.48 eV/atom. The volume is 113 Å³ per cell. For the electronic total energy, the calculation gives -0.2439 Ry per atom. The value obtained for the magnetic moment is 6.4 μB/f.u. For the energy above the most stable polymorph in this dataset, the calculation gives 295 meV/atom. Its density of states at the Fermi level is 3.12 states/eV per cell.

abc: 5.420 5.420 5.420
angles: 60.00 60.00 60.00
Site moments in Bohr magnetons follow the coordinates.
Positions (direct):
Na 0.000 0.000 0.000  -0.03
Fe 0.250 0.250 0.250  3.19
Fe 0.750 0.750 0.750  3.19
Rb 0.500 0.500 0.500  0.00

Rb3NaFe | GGA-PBE | optimized geometry

For the formation energy, the calculation gives 0.73 eV/atom. The volume is 325 Å³ per cell. For the electronic total energy, the calculation gives -0.1326 Ry per atom. The value obtained for the magnetic moment is 2.2 μB/f.u. For the energy above the most stable polymorph in this dataset, the calculation gives 0 meV/atom. Its density of states at the Fermi level is 31.42 states/eV per cell.

abc: 6.874 6.874 6.874
angles: 90.00 90.00 90.00
Site moments in Bohr magnetons follow the coordinates.
Positions (direct):
Na 0.500 0.500 0.500  0.00
Fe 0.000 0.000 0.000  2.85
Rb 0.000 0.500 0.000  -0.02
Rb 0.000 0.000 0.500  -0.02
Rb 0.500 0.000 0.000  -0.01

Rb2NaFeS | GGA-PBE | optimized geometry

The formation energy without anion corrections comes out at 0.053 eV per atom. The volume is 200 Å³ per cell. For the electronic total energy, the calculation gives -0.2290 Ry per atom. The value obtained for the magnetic moment is 0.0 μB/f.u. For the energy above the most stable polymorph in this dataset, the calculation gives 0 meV/atom. Its density of states at the Fermi level is 11.62 states/eV per cell.

abc: 6.791 4.326 6.791
angles: 90.00 90.00 90.00
Positions (direct):
Na 0.500 0.500 0.500
S 0.000 0.000 0.000
Fe 0.000 0.500 0.000
Rb 0.000 0.000 0.500
Rb 0.500 0.000 0.000

Rb2NaFeS | GGA-PBE | optimized geometry

The formation energy without anion corrections comes out at 0.124 eV per atom. The volume is 219 Å³ per cell. For the electronic total energy, the calculation gives -0.2238 Ry per atom. The value obtained for the magnetic moment is 3.1 μB/f.u. For the energy above the most stable polymorph in this dataset, the calculation gives 71 meV/atom. Its density of states at the Fermi level is 1.69 states/eV per cell.

abc: 6.470 5.240 6.470
angles: 90.00 90.00 90.00
Site moments in Bohr magnetons follow the coordinates.
Positions (direct):
Na 0.000 0.500 0.000  0.00
S 0.000 0.000 0.000  0.00
Fe 0.500 0.500 0.500  3.01
Rb 0.000 0.000 0.500  0.00
Rb 0.500 0.000 0.000  0.00

Rb2NaFeSi | GGA-PBE | optimized geometry

The formation energy without anion corrections comes out at 0.514 eV per atom. The volume is 218 Å³ per cell. For the electronic total energy, the calculation gives -0.2141 Ry per atom. The value obtained for the magnetic moment is 2.6 μB/f.u. Its density of states at the Fermi level is 7.11 states/eV per cell.

abc: 6.971 4.481 6.971
angles: 90.00 90.00 90.00
Site moments in Bohr magnetons follow the coordinates.
Positions (direct):
Na 0.500 0.500 0.500  0.00
Si 0.000 0.000 0.000  -0.05
Fe 0.000 0.500 0.000  2.57
Rb 0.000 0.000 0.500  0.00
Rb 0.500 0.000 0.000  0.00

RbNaZnFe2 | GGA-PBE | optimized geometry

For the formation energy, the calculation gives 0.92 eV/atom. The volume is 131 Å³ per cell. For the electronic total energy, the calculation gives -0.2336 Ry per atom. The value obtained for the magnetic moment is 5.8 μB/f.u. Its density of states at the Fermi level is 4.05 states/eV per cell.

abc: 4.837 5.609 4.837
angles: 90.00 90.00 90.00
Site moments in Bohr magnetons follow the coordinates.
Positions (direct):
Na 0.000 0.500 0.000  -0.02
Zn 0.000 0.000 0.000  -0.07
Fe 0.000 0.000 0.500  3.29
Fe 0.500 0.000 0.000  2.66
Rb 0.500 0.500 0.500  -0.01